# 1
# Rb2LaReCl6 | Alexandria via LeMat-Bulk | GGA-PBE | relaxed
# Energy relative to the elements, uncorrected = -1.34 eV/atom
# N(E_F) = 0.000 states/eV per atom
# Symmetry = No. 225
data_Rb2LaReCl6
_chemical_formula_sum 'Rb2 La1 Re1 Cl6'
_cell_length_a 7.3691
_cell_length_b 7.3691
_cell_length_c 7.3691
_cell_angle_alpha 60.00
_cell_angle_beta 60.00
_cell_angle_gamma 60.00
_space_group_name_H-M_alt 'P 1'
_space_group_IT_number 1
loop_
_space_group_symop_operation_xyz
'x,y,z'
loop_
_atom_site_label
_atom_site_type_symbol
_atom_site_fract_x
_atom_site_fract_y
_atom_site_fract_z
Rb1 Rb 0.2500 0.2500 0.2500
Rb2 Rb 0.7500 0.7500 0.7500
La1 La 0.0000 0.0000 0.0000
Re1 Re 0.5000 0.5000 0.5000
Cl1 Cl 0.2664 0.2664 0.7336
Cl2 Cl 0.2664 0.7336 0.2664
Cl3 Cl 0.2664 0.7336 0.7336
Cl4 Cl 0.7336 0.2664 0.2664
Cl5 Cl 0.7336 0.2664 0.7336
Cl6 Cl 0.7336 0.7336 0.2664

=====

# 2
# BiPdAu | Alexandria via LeMat-Bulk | GGA-PBE | relaxed
# Formation enthalpy at 0 K = -0.3 eV per formula unit
# N(E_F) = 0.370 states/eV per atom
# Symmetry = No. 131
# E above lowest polymorph = 78 meV/atom
data_BiPdAu
_chemical_formula_sum 'Bi2 Pd2 Au2'
_cell_length_a 4.5119
_cell_length_b 4.5119
_cell_length_c 6.7470
_cell_angle_alpha 90.00
_cell_angle_beta 90.00
_cell_angle_gamma 90.00
_space_group_name_H-M_alt 'P 1'
_space_group_IT_number 1
loop_
_space_group_symop_operation_xyz
'x,y,z'
loop_
_atom_site_label
_atom_site_type_symbol
_atom_site_fract_x
_atom_site_fract_y
_atom_site_fract_z
Bi1 Bi 0.0000 0.5000 0.0000
Bi2 Bi 0.5000 0.0000 0.5000
Pd1 Pd 0.0000 0.0000 0.2500
Pd2 Pd 0.0000 0.0000 0.7500
Au1 Au 0.0000 0.5000 0.5000
Au2 Au 0.5000 0.0000 0.0000

=====

# 3
# TaTc2Se | Alexandria via LeMat-Bulk | GGA-PBE | relaxed
# Energy relative to the elements, uncorrected = 0.25 eV/atom
# N(E_F) = 1.144 states/eV per atom
# Symmetry = No. 65
data_TaTc2Se
_chemical_formula_sum 'Ta1 Tc2 Se1'
_cell_length_a 2.8875
_cell_length_b 2.8875
_cell_length_c 8.6427
_cell_angle_alpha 90.00
_cell_angle_beta 90.00
_cell_angle_gamma 113.67
_space_group_name_H-M_alt 'P 1'
_space_group_IT_number 1
loop_
_space_group_symop_operation_xyz
'x,y,z'
loop_
_atom_site_label
_atom_site_type_symbol
_atom_site_fract_x
_atom_site_fract_y
_atom_site_fract_z
Ta1 Ta 0.0000 0.0000 0.0000
Tc1 Tc 0.5000 0.5000 0.2438
Tc2 Tc 0.5000 0.5000 0.7562
Se1 Se 0.0000 0.0000 0.5000